VASP calculation (PBE-GGA) on crystalline Tm4AlZn2Au at its relaxed geometry.

Crystal system ... trigonal
Calculated formation energy ... -11.62 kcal/mol of atoms

Cell and atoms, written as CIF:
```
data_Tm4AlZn2Au
_chemical_formula_sum 'Tm12 Al3 Zn6 Au3'
_space_group_name_H-M_alt 'R -3 m'
_space_group_IT_number 166
_space_group_name_Hall '-R 3 2"'
_cell_length_a 5.0067
_cell_length_b 5.0067
_cell_length_c 24.4934
_cell_angle_alpha 90.00
_cell_angle_beta 90.00
_cell_angle_gamma 120.00
loop_
_atom_site_label
_atom_site_type_symbol
_atom_site_fract_x
_atom_site_fract_y
_atom_site_fract_z
Tm1 Tm 0.0000 0.0000 0.1235
Tm2 Tm 0.0000 0.0000 0.3738
Al1 Al 0.0000 0.0000 0.5000
Zn1 Zn 0.0000 0.0000 0.2458
Au1 Au 0.0000 0.0000 0.0000
```